# HgTeMoI2

A PBEsol-optimized structure of HgTeMoI2 (SCAN, Alexandria via LeMat-Bulk).

abc: 5.5398 5.5398 5.1667
angles: 90.00 90.00 90.00
With the nearest neighbours (Å) after each atom.
Space group P4/mmm (No. 123)
Inequivalent atoms, fractional coordinates:
Hg 0.0000 0.0000 0.0000 x1  8 I 3.79, 4 Te 3.92
Te 0.5000 0.5000 0.0000 x1  2 Mo 2.58
Mo 0.5000 0.5000 0.5000 x1  2 Te 2.58, 4 I 2.77
I 0.0000 0.5000 0.5000 x2  2 Mo 2.77

## Properties
- VASP energy: -42.526 eV/atom
- Theoretical density: 7100 kg/m3
- Formation energy (no corrections): 0.23 eV per atom

***

# TcNiOs

A PBEsol-optimized structure of TcNiOs (SCAN, Alexandria via LeMat-Bulk).

abc: 2.7659 4.4080 13.0268
angles: 90.00 90.00 90.00
With the nearest neighbours (Å) after each atom.
Space group Fmm2 (No. 42)
Inequivalent atoms, fractional coordinates:
Tc 0.0000 0.0000 0.0000 x4  2 Ni 2.53, 6 Tc 2.60-2.77, 2 Os 2.63
Ni 0.0000 0.0000 0.6631 x4  2 Tc 2.53, 2 Os 2.56, 6 Ni 2.60-2.77
Os 0.0000 0.0000 0.3287 x4  2 Ni 2.56, 6 Os 2.60-2.77, 2 Tc 2.63

## Properties
- VASP energy: -40.615 eV/atom
- Theoretical density: 14509 kg/m3
- Formation energy: 0.42 eV/atom
- ΔE to the lowest computed polymorph: 413.7 meV per atom

***

# NaCdC3

A PBEsol-optimized structure of NaCdC3 (SCAN, Alexandria via LeMat-Bulk).

abc: 4.3335 4.3335 4.3335
angles: 90.00 90.00 90.00
With the nearest neighbours (Å) after each atom.
Space group Pm-3m (No. 221)
Inequivalent atoms, fractional coordinates:
Na 0.0000 0.0000 0.0000 x1  12 C 3.06
Cd 0.5000 0.5000 0.5000 x1  6 C 2.17
C 0.0000 0.5000 0.5000 x3  2 Cd 2.17

## Properties
- VASP energy: -9.907 eV/atom
- Theoretical density: 3498 kg/m3
- Formation energy: 3.08 eV/atom

***

# ScBe3Tc

A PBEsol-optimized structure of ScBe3Tc (SCAN, Alexandria via LeMat-Bulk).

abc: 4.1540 4.1540 4.1540
angles: 90.00 90.00 90.00
With the nearest neighbours (Å) after each atom.
Space group Pm-3m (No. 221)
Inequivalent atoms, fractional coordinates:
Sc 0.0000 0.0000 0.0000 x1  12 Be 2.94
Be 0.0000 0.5000 0.5000 x3  2 Tc 2.08
Tc 0.5000 0.5000 0.5000 x1  6 Be 2.08

## Properties
- VASP energy: -12.259 eV/atom
- Theoretical density: 3938 kg/m3
- Formation energy: 0.21 eV/atom

***

# BaTc2Rh

A PBEsol-optimized structure of BaTc2Rh (SCAN, Alexandria via LeMat-Bulk).

abc: 3.8060 3.8060 5.1945
angles: 90.00 90.00 90.00
With the nearest neighbours (Å) after each atom.
Space group P4/mmm (No. 123)
Inequivalent atoms, fractional coordinates:
Ba 0.0000 0.0000 0.0000 x1  4 Rh 2.69
Tc 0.0000 0.5000 0.5000 x2  4 Tc 2.69
Rh 0.5000 0.5000 0.0000 x1  4 Ba 2.69

## Properties
- VASP energy: -34.606 eV/atom
- Theoretical density: 9627 kg/m3
- Formation energy: 1.25 eV/atom
- ΔE to the lowest computed polymorph: 800.7 meV per atom

***

# Be7Hg

A PBEsol-optimized structure of Be7Hg (SCAN, Alexandria via LeMat-Bulk).

abc: 6.8194 6.8194 6.8194
angles: 90.00 90.00 90.00
With the nearest neighbours (Å) after each atom.
Space group Fm-3m (No. 225)
Inequivalent atoms, fractional coordinates:
Be 0.0000 0.0000 0.0000 x4  12 Be 2.41
Be 0.0000 0.2500 0.2500 x24  2 Hg 2.41, 10 Be 2.41
Hg 0.0000 0.0000 0.5000 x4  12 Be 2.41

## Properties
- VASP energy: -12.045 eV/atom
- Theoretical density: 5523 kg/m3
- Formation energy: 0.29 eV/atom

***

Question: What is the formula in the fourth record?
Answer: ScBe3Tc